# 1
Compound: Na4TmIn3S8
Source: Alexandria
Functional: PBE
Structure: optimized geometry

a b c (Å): 7.7329 8.0736 7.7327
angles (deg): 118.63 120.00 90.00
Sites, in units of the cell vectors:
In1 0.5000 0.5000 0.0000
In2 0.5000 0.5000 0.5000
In3 0.0000 0.5000 0.5000
S1 0.7568 0.2759 0.5137
S2 0.7384 0.7153 0.4769
S3 0.7382 0.7242 0.9813
S4 0.7569 0.2758 0.0187
S5 0.2431 0.7242 0.9813
S6 0.2618 0.2758 0.0187
S7 0.2616 0.2847 0.5231
S8 0.2432 0.7241 0.4863
Na1 0.5000 0.0000 0.5000
Na2 0.5000 0.0000 0.0000
Na3 0.0000 0.0000 0.0000
Na4 0.0000 0.0000 0.5000
Tm1 0.0000 0.5000 0.0000

**E_form (uncorrected)**: -1.1004 eV per atom
**Density**: 4.109 g cm⁻³

# 2
Compound: Zr4TlO
Source: Alexandria
Functional: PBE
Structure: optimized geometry

a b c (Å): 5.5195 7.1204 7.6585
angles (deg): 110.99 102.87 107.22
Sites, in units of the cell vectors:
Zr1 0.4287 0.7450 0.8819
Zr2 0.5713 0.2550 0.1181
Zr3 0.7869 0.6585 0.5778
Zr4 0.0468 0.8631 0.1181
Zr5 0.9532 0.1369 0.8819
Zr6 0.2909 0.9193 0.5778
Zr7 0.7091 0.0807 0.4222
Zr8 0.2131 0.3415 0.4222
O1 0.8112 0.0612 0.1223
O2 0.1888 0.9388 0.8777
Tl1 0.6497 0.3997 0.7994
Tl2 0.3503 0.6003 0.2006

**E_form (uncorrected)**: -0.7196 eV per atom
**Density**: 7.790 g cm⁻³

# 3
Compound: RbBi5S8
Source: Alexandria
Functional: PBE
Structure: optimized geometry

a b c (Å): 4.0832 10.0440 10.7308
angles (deg): 104.35 100.97 90.00
Sites, in units of the cell vectors:
Bi1 0.0000 0.0001 0.0000
Bi2 0.2956 0.6607 0.5911
Bi3 0.6546 0.9521 0.3092
Bi4 0.7044 0.3393 0.4088
Bi5 0.3453 0.0480 0.6906
S1 0.9215 0.1956 0.8430
S2 0.1677 0.4903 0.3353
S3 0.8323 0.5099 0.6645
S4 0.5782 0.1490 0.1564
S5 0.7708 0.8542 0.5417
S6 0.2291 0.1461 0.4581
S7 0.4217 0.8514 0.8434
S8 0.0785 0.8046 0.1569
Rb1 0.5004 0.4988 0.0008

**E_form (uncorrected)**: -0.4713 eV per atom
**Density**: 5.509 g cm⁻³

# 4
Compound: UNiP2Ir2
Source: Alexandria
Functional: PBE
Structure: optimized geometry

a b c (Å): 3.6084 6.1006 8.3753
angles (deg): 90.00 90.00 90.00
Sites, in units of the cell vectors:
Ni1 0.5000 0.1484 0.7059
Ni2 0.5000 0.6484 0.2941
P1 0.0000 0.7561 0.1181
P2 0.5000 0.7887 0.6793
P3 0.5000 0.2887 0.3207
P4 0.0000 0.2561 0.8819
U1 0.0000 0.9679 0.4446
U2 0.0000 0.4679 0.5554
Ir1 0.5000 0.0070 0.1328
Ir2 0.0000 0.3775 0.1428
Ir3 0.0000 0.8775 0.8572
Ir4 0.5000 0.5070 0.8672

**Density**: 13.386 g cm⁻³
**ΔE_f**: -296 kJ/mol of formula units

# 5
Compound: TaMo2Se
Source: Alexandria
Functional: PBE
Structure: optimized geometry

a b c (Å): 7.5369 7.5369 5.9140
angles (deg): 50.42 50.42 90.00
Sites, in units of the cell vectors:
Se1 0.5000 0.5000 0.0000
Se2 0.2500 0.7500 0.5000
Ta1 0.7500 0.2500 0.5000
Ta2 0.0000 0.0000 0.0000
Mo1 0.3750 0.4450 0.7500
Mo2 0.8750 0.8050 0.7500
Mo3 0.1950 0.6250 0.2500
Mo4 0.5550 0.1250 0.2500

**E_form (uncorrected)**: 0.6793 eV per atom
**Density**: 10.302 g cm⁻³

# 6
Compound: CsAlI2O
Source: Alexandria
Functional: PBE
Structure: optimized geometry

a b c (Å): 7.1702 7.1702 4.3989
angles (deg): 90.00 90.00 90.00
Sites, in units of the cell vectors:
I1 0.5000 0.0000 0.0000
I2 0.0000 0.5000 0.0000
Al1 0.5000 0.5000 0.5000
Cs1 0.0000 0.0000 0.0000
O1 0.0000 0.0000 0.5000

**E_form (uncorrected)**: 0.2320 eV per atom
**Density**: 3.155 g cm⁻³
**Energy relative to the lowest polymorph listed for this composition**: 1484.5 meV/atom

# 7
Compound: K2ScNi
Source: Alexandria
Functional: PBE
Structure: optimized geometry

a b c (Å): 3.6068 3.6041 10.6334
angles (deg): 90.00 90.00 90.00
Sites, in units of the cell vectors:
Ni1 0.0000 0.0000 0.5937
Sc1 0.5000 0.5000 0.6448
K1 0.5000 0.5000 0.3252
K2 0.0000 0.0000 0.9363

**Density**: 2.185 g cm⁻³
**ΔE_f**: 83 kJ/mol of formula units
**Energy relative to the lowest polymorph listed for this composition**: 246.1 meV/atom

# 8
Compound: PrCd8Hg6
Source: Alexandria
Functional: PBE
Structure: optimized geometry

a b c (Å): 7.2629 7.2629 9.2058
angles (deg): 66.77 66.77 60.00
Sites, in units of the cell vectors:
Hg1 0.7154 0.5007 0.7906
Hg2 0.9933 0.7154 0.7906
Hg3 0.2846 0.4993 0.2094
Hg4 0.5007 0.9933 0.7906
Hg5 0.4993 0.0067 0.2094
Hg6 0.0067 0.2846 0.2094
Cd1 0.1889 0.3575 0.6028
Cd2 0.3575 0.8508 0.6028
Cd3 0.6425 0.1492 0.3972
Cd4 0.8508 0.1889 0.6028
Cd5 0.6371 0.6371 0.0887
Cd6 0.8111 0.6425 0.3972
Cd7 0.3629 0.3629 0.9113
Cd8 0.1492 0.8111 0.3972
Pr1 0.0000 0.0000 0.0000

**Density**: 9.952 g cm⁻³
**ΔE_f**: -76 kJ/mol of formula units

# 9
Compound: Eu3Sb5O12
Source: Alexandria
Functional: PBE
Structure: optimized geometry

a b c (Å): 11.9011 11.9011 11.9011
angles (deg): 109.47 109.47 109.47
Sites, in units of the cell vectors:
Sb1 0.3750 0.1250 0.7500
Sb2 0.0000 0.5000 0.5000
Sb3 0.8750 0.2500 0.6250
Sb4 0.5000 0.0000 0.5000
Sb5 0.5000 0.0000 0.0000
Sb6 0.5000 0.5000 0.5000
Sb7 0.7500 0.6250 0.3750
Sb8 0.2500 0.8750 0.1250
Sb9 0.3750 0.2500 0.1250
Sb10 0.0000 0.0000 0.5000
Sb11 0.7500 0.1250 0.8750
Sb12 0.6250 0.7500 0.8750
Sb13 0.1250 0.7500 0.3750
Sb14 0.1250 0.3750 0.2500
Sb15 0.2500 0.3750 0.6250
Sb16 0.0000 0.5000 0.0000
Sb17 0.5000 0.5000 0.0000
Sb18 0.6250 0.8750 0.2500
Sb19 0.0000 0.0000 0.0000
Sb20 0.8750 0.6250 0.7500
O1 0.1210 0.4209 0.0901
O2 0.1210 0.7001 0.5309
O3 0.4209 0.2999 0.3308
O4 0.8790 0.5791 0.9099
O5 0.0309 0.6210 0.7001
O6 0.9099 0.0791 0.8790
O7 0.9209 0.0901 0.6210
O8 0.0901 0.9209 0.1210
O9 0.0791 0.1692 0.2001
O10 0.7999 0.4691 0.3790
O11 0.7999 0.3308 0.9209
O12 0.8790 0.2999 0.4691
O13 0.0791 0.9099 0.3790
O14 0.9099 0.8308 0.5309
O15 0.1692 0.0791 0.7001
O16 0.4099 0.0309 0.3308
O17 0.5901 0.9691 0.6692
O18 0.1692 0.0901 0.9691
O19 0.6210 0.5901 0.9209
O20 0.4691 0.6692 0.0901
O21 0.2001 0.6692 0.0791
O22 0.4691 0.7999 0.8790
O23 0.3790 0.4099 0.0791
O24 0.7001 0.1210 0.0309
O25 0.9209 0.8308 0.7999
O26 0.5309 0.3308 0.9099
O27 0.2999 0.8790 0.9691
O28 0.2001 0.5309 0.6210
O29 0.5791 0.8790 0.4099
O30 0.3308 0.5309 0.4099
O31 0.3308 0.7999 0.4209
O32 0.9691 0.5901 0.1692
O33 0.6692 0.2001 0.5791
O34 0.5901 0.6210 0.4209
O35 0.4099 0.3790 0.5791
O36 0.9691 0.3790 0.2999
O37 0.6692 0.4691 0.5901
O38 0.8308 0.9099 0.0309
O39 0.0309 0.4099 0.8308
O40 0.2999 0.4209 0.8308
O41 0.7001 0.5791 0.1692
O42 0.0901 0.1692 0.4691
O43 0.3790 0.9691 0.7999
O44 0.5309 0.2001 0.1210
O45 0.5791 0.7001 0.6692
O46 0.8308 0.9209 0.2999
O47 0.6210 0.0309 0.2001
O48 0.4209 0.1210 0.5901
Eu1 0.2500 0.6250 0.8750
Eu2 0.7500 0.8750 0.6250
Eu3 0.7500 0.3750 0.1250
Eu4 0.2500 0.1250 0.3750
Eu5 0.6250 0.2500 0.3750
Eu6 0.3750 0.7500 0.6250
Eu7 0.8750 0.7500 0.1250
Eu8 0.1250 0.8750 0.7500
Eu9 0.8750 0.1250 0.2500
Eu10 0.6250 0.3750 0.7500
Eu11 0.3750 0.6250 0.2500
Eu12 0.1250 0.2500 0.8750

**E_form (uncorrected)**: -1.7361 eV per atom
**Density**: 6.433 g cm⁻³
**Energy relative to the lowest polymorph listed for this composition**: 193.6 meV/atom

# 10
Compound: Nb2BiC
Source: Alexandria
Functional: PBE
Structure: optimized geometry

a b c (Å): 5.4835 5.4835 6.9343
angles (deg): 66.71 66.71 90.00
Sites, in units of the cell vectors:
Nb1 0.8750 0.7398 0.7500
Nb2 0.4898 0.1250 0.2500
Nb3 0.3750 0.5102 0.7500
Nb4 0.2602 0.6250 0.2500
Bi1 0.0000 0.0000 0.0000
Bi2 0.7500 0.2500 0.5000
C1 0.2500 0.7500 0.5000
C2 0.5000 0.5000 0.0000

**Density**: 7.816 g cm⁻³
**ΔE_f**: 194 kJ/mol of formula units

# 11
Compound: P2Ru2SeN
Source: Alexandria
Functional: PBE
Structure: optimized geometry

a b c (Å): 7.5860 2.8690 11.0478
angles (deg): 90.00 133.12 90.00
Sites, in units of the cell vectors:
P1 0.1273 0.0000 0.8414
P2 0.1273 0.5000 0.3414
P3 0.5132 0.0000 0.6823
P4 0.5132 0.5000 0.1823
N1 0.2728 0.5000 0.8399
N2 0.2728 0.0000 0.3399
Se1 0.8042 0.0000 0.9722
Se2 0.8042 0.5000 0.4722
Ru1 0.2197 0.5000 0.5965
Ru2 0.2197 0.0000 0.0965
Ru3 0.7049 0.0000 0.5905
Ru4 0.7049 0.5000 0.0905

**E_form (uncorrected)**: -0.0579 eV per atom
**Density**: 6.757 g cm⁻³
**Energy relative to the lowest polymorph listed for this composition**: 163.3 meV/atom

# 12
Compound: Na2ThTaO6
Source: Alexandria
Functional: PBE
Structure: optimized geometry

a b c (Å): 5.7776 5.9410 8.2752
angles (deg): 90.00 90.02 90.00
Sites, in units of the cell vectors:
Ta1 0.0000 0.5000 0.0000
Ta2 0.5000 0.0000 0.5000
Na1 0.5073 0.5351 0.7544
Na2 0.9927 0.0351 0.7456
Na3 0.4927 0.4649 0.2456
Na4 0.0073 0.9649 0.2544
O1 0.3205 0.7213 0.4444
O2 0.2177 0.1850 0.4544
O3 0.6795 0.2787 0.5556
O4 0.2823 0.6850 0.0456
O5 0.7823 0.8150 0.5456
O6 0.5977 0.0379 0.2687
O7 0.1795 0.2213 0.0556
O8 0.7177 0.3150 0.9544
O9 0.0977 0.4621 0.7687
O10 0.4023 0.9621 0.7313
O11 0.8205 0.7787 0.9444
O12 0.9023 0.5379 0.2313
Th1 0.0000 0.5000 0.5000
Th2 0.5000 0.0000 0.0000

**E_form (uncorrected)**: -2.5803 eV per atom
**Density**: 6.489 g cm⁻³